Entry 1:
Entry from the Alexandria database: crystalline KAlCo2 at its relaxed geometry (GGA-PBE).

As for the formation energy from the elements: 21.04 kcal/mol of atoms. The value obtained for the density of states at the Fermi level is 4.04 states/eV/f.u. As for the symmetry: C2/m (12). The value obtained for the uncorrected energy is -0.28301 Ry/atom.

```
4
Lattice="-3.312 -6.458 1.957 4.469 1.870 1.120 -0.661 0.016 2.597" Properties=species:S:1:pos:R:3 pbc="T T T"
K 1.904 0.943 1.858
Co 0.000 0.000 0.000
Co -1.987 -3.221 2.277
Al 0.578 -2.294 1.538
```


Entry 2:
Entry from the Alexandria database: crystalline BaLa3Ti at its relaxed geometry (GGA-PBE).

As for the formation energy from the elements: 29.22 kcal/mol of atoms. The value obtained for the density of states at the Fermi level is 15.89 states/eV/f.u. As for the symmetry: Pm-3m (221). For the offset from the most stable computed form, the calculation gives 928 meV/atom. The value obtained for the uncorrected energy is -0.26847 Ry/atom.

```
5
Lattice="-3.575 0.150 -4.647 -4.626 -0.707 3.536 -0.470 5.821 0.549" Properties=species:S:1:pos:R:3 pbc="T T T"
Ti -4.335 2.632 -0.281
Ba 0.000 0.000 0.000
La -2.313 -0.353 1.768
La -0.235 2.910 0.275
La -1.788 0.075 -2.324
```


Entry 3:
Entry from the Alexandria database: crystalline ZrMnTcMo at its relaxed geometry (GGA-PBE).

As for the formation energy from the elements: -1.97 kcal/mol of atoms. The value obtained for the density of states at the Fermi level is 1.38 states/eV/f.u. As for the symmetry: F-43m (216). The value obtained for the uncorrected energy is -0.72132 Ry/atom.

```
4
Lattice="4.449 0.000 0.000 2.224 3.853 0.000 2.224 1.284 3.632" Properties=species:S:1:pos:R:3 pbc="T T T"
Mo 2.224 1.284 0.908
Mn 0.000 0.000 0.000
Tc 4.449 2.568 1.816
Zr 6.673 3.853 2.724
```


Entry 4:
Entry from the Alexandria database: crystalline LiAg2HBr4 at its relaxed geometry (GGA-PBE).

As for the symmetry: P2/m (10). The value obtained for the uncorrected energy is -0.18489 Ry/atom.

```
8
Lattice="-2.636 2.508 -0.244 -4.718 -4.722 2.447 -0.569 0.116 7.350" Properties=species:S:1:pos:R:3 pbc="T T T"
Li -2.644 -2.303 4.898
Ag -0.569 0.116 7.350
Ag -1.603 1.312 3.553
H -3.677 -1.107 1.102
Br -3.786 -3.239 7.615
Br -4.138 1.142 1.938
Br -5.065 -2.293 3.908
Br -2.858 0.196 5.646
```